# ZrScCoIr

A relaxed ZrScCoIr crystal (GGA-PBE, Alexandria).

It has space group F-43m (No. 216), with a = 6.467 Å, b = 6.467 Å, c = 6.467 Å, α = 90.00°, β = 90.00° and γ = 90.00°. The distinct sites, in fractional coordinates, are Zr at (0.000, 0.000, 0.000), Sc at (0.000, 0.000, 0.500), Co at (0.250, 0.250, 0.250) and Ir at (0.250, 0.250, 0.750).

For the total magnetization, the calculation gives 0.26 μB per atom. Its formation energy is -63.7 kJ/mol of atoms.



# Ho3ErPu2S6

A relaxed Ho3ErPu2S6 crystal (GGA-PBE, Alexandria).

It has space group C2/m (No. 12), with a = 6.747 Å, b = 11.691 Å, c = 6.786 Å, α = 90.00°, β = 109.33° and γ = 90.00°. The distinct sites, in fractional coordinates, are Ho at (0.000, 0.000, 0.000), Ho at (0.000, 0.332, 0.000), Er at (0.000, 0.500, 0.500), Pu at (0.000, 0.166, 0.500), S at (0.245, 0.500, 0.246) and S at (0.249, 0.335, 0.753).

For the total magnetization, the calculation gives 0.96 μB per atom. The value obtained for the uncorrected energy is -7.906 eV per atom.



# Ga2Co2Ir

A relaxed Ga2Co2Ir crystal (GGA-PBE, Alexandria).

It has space group P4/mbm (No. 127), with a = 6.815 Å, b = 6.815 Å, c = 2.772 Å, α = 90.00°, β = 90.00° and γ = 90.00°. The distinct sites, in fractional coordinates, are Ga at (0.175, 0.325, 0.000), Co at (0.124, 0.624, 0.500) and Ir at (0.000, 0.000, 0.500).

For the total magnetization, the calculation gives 0.00 μB per atom. Its formation energy is -2.0 kJ/mol of atoms.



# LiTa2SeS

A relaxed LiTa2SeS crystal (GGA-PBE, Alexandria).

It has space group P4/mmm (No. 123), with a = 4.819 Å, b = 4.819 Å, c = 4.157 Å, α = 90.00°, β = 90.00° and γ = 90.00°. The distinct sites, in fractional coordinates, are Li at (0.000, 0.000, 0.000), Ta at (0.000, 0.500, 0.500), Se at (0.000, 0.000, 0.500) and S at (0.500, 0.500, 0.000).

For the total magnetization, the calculation gives 0.00 μB per atom. The value obtained for the uncorrected energy is -5.918 eV per atom.